First-principles (PBE) data for a relaxed structure of NaYAg2I6, as listed in Alexandria via LeMat-Bulk.

Values from the calculation:
**Magnetic moment**: 0.000 μB/f.u.
**E_form (uncorrected)**: -0.87 eV per atom
**E**: -3.152 eV/atom
**Calculated volume**: 1192.91 Å³ per cell

a = 7.8682 Å, b = 7.8682 Å, c = 22.2479 Å
α = 90.00°, β = 90.00°, γ = 120.00°
Space group R-3 (No. 148, hexagonal axes)
Inequivalent atoms, fractional coordinates:
Na: 0.0000 0.0000 0.0000 (multiplicity 3)
Y: 0.0000 0.0000 0.5000 (multiplicity 3)
Ag: 0.0000 0.0000 0.2387 (multiplicity 6)
I: 0.0127 0.3201 0.5806 (multiplicity 18)